Record 1
An optimized crystal structure of In3C. Source: Alexandria via LeMat-Bulk, functional PBE.

Summary:
E_form	1.02	eV/atom

abc: 3.179 3.179 8.195
angles: 90.00 90.00 90.00
Fractional positions:
C  0.000  0.000  0.000
In  0.500  0.500  0.180
In  0.000  0.000  0.500
In  0.500  0.500  0.820


Record 2
An optimized crystal structure of Mg3CdAg3. Source: Alexandria via LeMat-Bulk, functional PBE.

Summary:
E_form	-0.15	eV/atom

abc: 4.869 8.004 8.004
angles: 120.00 90.00 90.00
Fractional positions:
Mg  0.750  0.641  0.549
Mg  0.750  0.451  0.092
Mg  0.750  0.908  0.359
Mg  0.250  0.359  0.451
Mg  0.250  0.549  0.908
Mg  0.250  0.092  0.641
Cd  0.250  0.667  0.333
Cd  0.750  0.333  0.667
Ag  0.250  0.810  0.763
Ag  0.250  0.237  0.047
Ag  0.250  0.953  0.190
Ag  0.750  0.190  0.237
Ag  0.750  0.763  0.953
Ag  0.750  0.047  0.810


Record 3
An optimized crystal structure of PrZnSi2. Source: Alexandria via LeMat-Bulk, functional PBE.

Summary:
formation energy from raw total energies	-0.18	eV/atom

abc: 3.980 4.842 4.842
angles: 106.17 90.00 90.00
Fractional positions:
Pr  0.000  0.018  0.982
Zn  0.500  0.589  0.411
Si  0.500  0.105  0.497
Si  0.500  0.503  0.895


Record 4
An optimized crystal structure of Sr2MgZn3Hg4. Source: Alexandria via LeMat-Bulk, functional PBE.

Summary:
E_form	-0.29	eV/atom

abc: 4.616 4.616 11.631
angles: 90.00 90.00 90.00
Fractional positions:
Sr  0.500  0.000  0.239
Sr  0.000  0.500  0.761
Mg  0.500  0.500  0.500
Zn  0.000  0.000  0.500
Zn  0.500  0.000  0.870
Zn  0.000  0.500  0.130
Hg  0.500  0.500  0.000
Hg  0.000  0.000  0.000
Hg  0.500  0.000  0.641
Hg  0.000  0.500  0.359


Record 5
An optimized crystal structure of Dy6CuHg5. Source: Alexandria via LeMat-Bulk, functional PBE.

Summary:
E_form	-0.43	eV/atom

abc: 5.199 7.421 8.222
angles: 90.00 71.81 90.00
Fractional positions:
Hg  0.667  0.500  0.665
Hg  0.332  0.000  0.335
Hg  0.000  0.500  0.000
Hg  0.668  0.000  0.665
Hg  0.333  0.500  0.335
Cu  0.000  0.000  0.000
Dy  0.838  0.755  0.324
Dy  0.838  0.245  0.324
Dy  0.500  0.239  0.000
Dy  0.500  0.761  0.000
Dy  0.162  0.755  0.676
Dy  0.162  0.245  0.676


Record 6
An optimized crystal structure of Tm4MgHg2. Source: Alexandria via LeMat-Bulk, functional PBE.

Summary:
offset from the most stable computed form	0	meV per atom
E_form	-0.21	eV/atom

abc: 5.146 5.146 8.641
angles: 72.68 72.68 60.00
Fractional positions:
Tm  0.867  0.867  0.398
Tm  0.133  0.133  0.602
Tm  0.612  0.612  0.165
Tm  0.388  0.388  0.835
Mg  0.000  0.000  0.000
Hg  0.741  0.741  0.777
Hg  0.259  0.259  0.223


Record 7
An optimized crystal structure of DyErInNi. Source: Alexandria via LeMat-Bulk, functional PBE.

Summary:
E_form	-0.32	eV/atom

abc: 5.069 5.069 5.069
angles: 60.00 60.00 60.00
Fractional positions:
Ni  0.750  0.750  0.750
Dy  0.000  0.000  0.000
In  0.250  0.250  0.250
Er  0.500  0.500  0.500


Record 8
An optimized crystal structure of TbPu2Se2S2. Source: Alexandria via LeMat-Bulk, functional PBE.

Summary:
formation energy from raw total energies	-1.40	eV/atom

abc: 5.131 5.131 8.222
angles: 108.18 108.18 90.00
Fractional positions:
Tb  0.000  0.000  0.000
Pu  0.378  0.378  0.756
Pu  0.622  0.622  0.244
Se  0.188  0.188  0.377
Se  0.812  0.812  0.623
S  0.000  0.500  0.000
S  0.500  0.000  0.000


Record 9
An optimized crystal structure of Nd4GaSI2. Source: Alexandria via LeMat-Bulk, functional PBE.

Summary:
formation energy from raw total energies	-1.15	eV/atom

abc: 4.293 7.284 8.158
angles: 108.14 90.00 90.00
Fractional positions:
Nd  0.500  0.225  0.192
Nd  0.500  0.775  0.808
Nd  0.000  0.260  0.801
Nd  0.000  0.740  0.199
Ga  0.500  0.500  0.000
S  0.000  0.000  0.000
I  0.500  0.000  0.500
I  0.000  0.500  0.500


Record 10
An optimized crystal structure of Ca2YBr. Source: Alexandria via LeMat-Bulk, functional PBE.

Summary:
formation energy from raw total energies	-0.51	eV/atom
offset from the most stable computed form	132	meV per atom

abc: 3.724 3.724 10.812
angles: 90.00 90.00 116.14
Fractional positions:
Y  0.000  0.000  0.528
Ca  0.000  0.000  0.967
Ca  0.500  0.500  0.258
Br  0.500  0.500  0.747


Record 11
An optimized crystal structure of ErZrSb. Source: Alexandria via LeMat-Bulk, functional PBE.

Summary:
formation energy from raw total energies	-0.25	eV/atom

abc: 3.706 4.945 4.945
angles: 120.00 90.00 90.00
Fractional positions:
Sb  0.230  0.333  0.667
Zr  0.129  0.000  0.000
Er  0.642  0.667  0.333


Record 12
An optimized crystal structure of CeCoSi2. Source: Alexandria via LeMat-Bulk, functional PBE.

Summary:
formation energy from raw total energies	-0.79	eV/atom

abc: 4.014 4.049 8.481
angles: 103.81 90.00 90.00
Fractional positions:
Si  0.750  0.959  0.918
Si  0.250  0.041  0.082
Si  0.750  0.251  0.501
Si  0.250  0.749  0.499
Co  0.750  0.822  0.644
Co  0.250  0.178  0.356
Ce  0.750  0.609  0.218
Ce  0.250  0.391  0.782


Record 13
An optimized crystal structure of KSmPb2Br8. Source: Alexandria via LeMat-Bulk, functional PBE.

Summary:
formation energy from raw total energies	-1.36	eV/atom

abc: 7.271 6.896 9.269
angles: 89.97 89.99 89.18
Fractional positions:
K  0.000  0.000  0.500
Sm  0.000  0.000  0.000
Pb  0.500  0.500  0.748
Pb  0.500  0.500  0.252
Br  0.155  0.758  0.222
Br  0.675  0.758  0.000
Br  0.845  0.241  0.222
Br  0.845  0.242  0.778
Br  0.325  0.242  0.000
Br  0.155  0.759  0.778
Br  0.636  0.731  0.500
Br  0.364  0.269  0.500


The evaluated uncorrected energy for the records listed, in turn: -13.376 -15.294 -17.636 -12.933 -38.352 -21.551 -18.978 -58.298 -38.532 -14.175 -17.970 -27.053 -42.953 eV per formula unit.